A relaxed structure of AcTb4Pr3. Source: Alexandria via LeMat-Bulk, functional PBE.

The formation enthalpy at 0 K comes out at 43 meV/atom. For the total energy, the calculation gives -4.5780 eV/atom. As for the density of states at the Fermi level: 14.36 states/eV/f.u. For the magnetization, the calculation gives 0.00 μB per cell.

Cell lengths 6.400, 7.441, 11.855 Å; angles 90.00, 90.00, 90.00 degrees
Positions (direct):
Tb1 0.149 0.381 0.252
Tb2 0.649 0.619 0.248
Tb3 0.979 0.621 0.000
Tb4 0.480 0.384 0.000
Tb5 0.980 0.616 0.500
Tb6 0.149 0.381 0.748
Tb7 0.479 0.379 0.500
Tb8 0.649 0.619 0.752
Pr1 0.983 0.133 0.500
Pr2 0.643 0.131 0.248
Pr3 0.643 0.131 0.752
Pr4 0.143 0.869 0.252
Pr5 0.143 0.869 0.748
Pr6 0.483 0.867 0.000
Ac1 0.989 0.128 0.000
Ac2 0.489 0.872 0.500

***

A relaxed structure of Ac2Tb3Pr8. Source: Alexandria via LeMat-Bulk, functional PBE.

The formation enthalpy at 0 K comes out at 177 meV/atom. For the total energy, the calculation gives -4.4649 eV/atom. As for the density of states at the Fermi level: 20.85 states/eV/f.u. For the magnetization, the calculation gives 0.00 μB per cell.

Cell lengths 6.347, 9.094, 9.094 Å; angles 83.85, 72.87, 72.87 degrees
Positions (direct):
Pr1 0.760 0.423 0.423
Pr2 0.062 0.858 0.858
Pr3 0.938 0.142 0.142
Pr4 0.666 0.588 0.087
Pr5 0.334 0.913 0.412
Pr6 0.666 0.087 0.588
Pr7 0.240 0.577 0.577
Pr8 0.334 0.412 0.913
Ac1 0.658 0.699 0.699
Ac2 0.342 0.301 0.301
Tb1 0.500 0.000 0.000
Tb2 0.000 0.743 0.257
Tb3 0.000 0.257 0.743

***

A relaxed structure of AcTbPr2. Source: Alexandria via LeMat-Bulk, functional PBE.

The formation enthalpy at 0 K comes out at 33 meV/atom. For the total energy, the calculation gives -4.5411 eV/atom. As for the density of states at the Fermi level: 6.60 states/eV/f.u. For the magnetization, the calculation gives 0.00 μB per cell.

Cell lengths 5.330, 5.329, 6.453 Å; angles 65.61, 65.56, 90.00 degrees
Positions (direct):
Ac1 0.250 0.750 0.500
Pr1 0.750 0.250 0.500
Pr2 0.000 0.000 0.000
Tb1 0.500 0.500 0.000

***

A relaxed structure of Ac3Tb2Pr. Source: Alexandria via LeMat-Bulk, functional PBE.

The formation enthalpy at 0 K comes out at 59 meV/atom. For the total energy, the calculation gives -4.3350 eV/atom. As for the density of states at the Fermi level: 10.89 states/eV/f.u. For the magnetization, the calculation gives 0.00 μB per cell.

Cell lengths 7.584, 6.613, 12.617 Å; angles 110.62, 89.96, 124.97 degrees
Positions (direct):
Ac1 0.376 0.000 0.750
Ac2 0.292 0.333 0.584
Ac3 0.624 0.000 0.250
Ac4 0.042 0.334 0.084
Ac5 0.708 0.667 0.416
Ac6 0.958 0.666 0.916
Pr1 0.875 0.000 0.750
Pr2 0.125 0.000 0.250
Tb1 0.791 0.332 0.582
Tb2 0.541 0.332 0.082
Tb3 0.209 0.668 0.418
Tb4 0.459 0.668 0.918

***

A relaxed structure of Ac4TbPr15. Source: Alexandria via LeMat-Bulk, functional PBE.

The formation enthalpy at 0 K comes out at 21 meV/atom. For the total energy, the calculation gives -4.6167 eV/atom. As for the density of states at the Fermi level: 33.25 states/eV/f.u. For the magnetization, the calculation gives 0.00 μB per cell.

Cell lengths 5.326, 5.326, 26.540 Å; angles 90.00, 90.00, 90.00 degrees
Positions (direct):
Pr1 0.000 0.500 0.904
Pr2 0.000 0.500 0.298
Pr3 0.000 0.500 0.500
Pr4 0.500 0.000 0.500
Pr5 0.500 0.000 0.096
Pr6 0.500 0.000 0.702
Pr7 0.500 0.000 0.904
Pr8 0.000 0.500 0.702
Pr9 0.500 0.000 0.298
Pr10 0.500 0.500 0.803
Pr11 0.500 0.500 0.000
Pr12 0.500 0.500 0.399
Pr13 0.500 0.500 0.197
Pr14 0.500 0.500 0.601
Pr15 0.000 0.500 0.096
Ac1 0.000 0.000 0.802
Ac2 0.000 0.000 0.399
Ac3 0.000 0.000 0.601
Ac4 0.000 0.000 0.198
Tb1 0.000 0.000 0.000

***

A relaxed structure of AcTb2Pr3. Source: Alexandria via LeMat-Bulk, functional PBE.

The formation enthalpy at 0 K comes out at 342 meV/atom. For the total energy, the calculation gives -4.2758 eV/atom. As for the density of states at the Fermi level: 10.81 states/eV/f.u. For the magnetization, the calculation gives 0.00 μB per cell.

Cell lengths 3.558, 6.258, 10.590 Å; angles 107.19, 99.67, 90.00 degrees
Positions (direct):
Ac1 0.000 0.000 0.000
Tb1 0.639 0.639 0.277
Tb2 0.361 0.361 0.723
Pr1 0.809 0.809 0.618
Pr2 0.191 0.191 0.382
Pr3 0.000 0.500 0.000

***

A relaxed structure of Ac2Tb6Pr3. Source: Alexandria via LeMat-Bulk, functional PBE.

The formation enthalpy at 0 K comes out at 182 meV/atom. For the total energy, the calculation gives -4.3945 eV/atom. As for the density of states at the Fermi level: 15.04 states/eV/f.u. For the magnetization, the calculation gives 0.00 μB per cell.

Cell lengths 6.303, 6.312, 12.073 Å; angles 85.02, 79.98, 60.04 degrees
Positions (direct):
Tb1 0.747 0.000 0.756
Tb2 0.082 0.333 0.756
Tb3 0.253 0.000 0.244
Tb4 0.414 0.667 0.756
Tb5 0.586 0.333 0.244
Tb6 0.918 0.667 0.244
Pr1 0.664 0.671 0.000
Pr2 0.000 0.000 0.000
Pr3 0.336 0.329 0.000
Ac1 0.833 0.334 0.500
Ac2 0.167 0.666 0.500

***

A relaxed structure of AcTbPr2. Source: Alexandria via LeMat-Bulk, functional PBE.

The formation enthalpy at 0 K comes out at 157 meV/atom. For the total energy, the calculation gives -4.4177 eV/atom. As for the density of states at the Fermi level: 6.46 states/eV/f.u. For the magnetization, the calculation gives 0.00 μB per cell.

Cell lengths 3.665, 3.665, 13.205 Å; angles 82.02, 82.02, 60.00 degrees
Positions (direct):
Pr1 0.908 0.908 0.277
Pr2 0.092 0.092 0.723
Tb1 0.500 0.500 0.500
Ac1 0.000 0.000 0.000

***

A relaxed structure of Ac3TbPr. Source: Alexandria via LeMat-Bulk, functional PBE.

The formation enthalpy at 0 K comes out at 44 meV/atom. For the total energy, the calculation gives -4.3035 eV/atom. As for the density of states at the Fermi level: 8.89 states/eV/f.u. For the magnetization, the calculation gives 0.00 μB per cell.

Cell lengths 3.873, 10.837, 10.171 Å; angles 75.27, 100.98, 90.00 degrees
Positions (direct):
Ac1 0.397 0.045 0.794
Ac2 0.202 0.653 0.404
Ac3 0.603 0.955 0.206
Ac4 0.002 0.261 0.004
Ac5 0.798 0.347 0.596
Ac6 0.998 0.739 0.996
Tb1 0.799 0.852 0.597
Tb2 0.201 0.148 0.403
Pr1 0.604 0.445 0.209
Pr2 0.396 0.555 0.791

***

A relaxed structure of Ac3Tb2Pr2. Source: Alexandria via LeMat-Bulk, functional PBE.

The formation enthalpy at 0 K comes out at 47 meV/atom. For the total energy, the calculation gives -4.4021 eV/atom. As for the density of states at the Fermi level: 11.37 states/eV/f.u. For the magnetization, the calculation gives 0.00 μB per cell.

Cell lengths 5.687, 3.759, 12.964 Å; angles 90.00, 77.33, 90.00 degrees
Positions (direct):
Ac1 0.846 0.000 0.308
Ac2 0.154 0.000 0.692
Ac3 0.000 0.000 0.000
Tb1 0.285 0.500 0.430
Tb2 0.715 0.500 0.570
Pr1 0.426 0.500 0.147
Pr2 0.574 0.500 0.853

***

A relaxed structure of AcTb2Pr9. Source: Alexandria via LeMat-Bulk, functional PBE.

The formation enthalpy at 0 K comes out at 20 meV/atom. For the total energy, the calculation gives -4.6788 eV/atom. As for the density of states at the Fermi level: 20.98 states/eV/f.u. For the magnetization, the calculation gives 0.00 μB per cell.

Cell lengths 5.245, 5.245, 15.761 Å; angles 90.00, 90.00, 90.00 degrees
Positions (direct):
Tb1 0.000 0.000 0.664
Tb2 0.000 0.000 0.336
Pr1 0.000 0.500 0.500
Pr2 0.000 0.500 0.173
Pr3 0.500 0.500 0.000
Pr4 0.500 0.000 0.500
Pr5 0.500 0.000 0.173
Pr6 0.500 0.500 0.338
Pr7 0.500 0.000 0.827
Pr8 0.000 0.500 0.827
Pr9 0.500 0.500 0.662
Ac1 0.000 0.000 0.000

***

A relaxed structure of AcTb2Pr. Source: Alexandria via LeMat-Bulk, functional PBE.

The formation enthalpy at 0 K comes out at 116 meV/atom. For the total energy, the calculation gives -4.4215 eV/atom. As for the density of states at the Fermi level: 7.46 states/eV/f.u. For the magnetization, the calculation gives 0.00 μB per cell.

Cell lengths 5.894, 5.894, 5.894 Å; angles 60.00, 60.00, 60.00 degrees
Positions (direct):
Pr1 0.500 0.500 0.500
Tb1 0.750 0.750 0.750
Tb2 0.250 0.250 0.250
Ac1 0.000 0.000 0.000

***

Which value of formation enthalpy at 0 K does entry 6 give? 342 meV/atom